Entry 1:
YPa6: relaxed, GGA-PBE.

Calculated values
* calculated density: 10.96 g/cm3
* final energy: -53.80 eV for the cell shown
* symmetry: No. 229

Unit cell a=6.6216 b=6.6216 c=6.6216 alpha=109.47 beta=109.47 gamma=109.47
Last column: nearest neighbours and their distance in Å.
Sites, in units of the cell vectors:
Y1 0.0000 0.0000 0.0000  24 Pa 4.27
Pa1 0.2500 0.5000 0.7500  4 Pa 2.70
Pa2 0.2500 0.7500 0.5000  4 Pa 2.70
Pa3 0.5000 0.2500 0.7500  4 Pa 2.70
Pa4 0.5000 0.7500 0.2500  4 Pa 2.70
Pa5 0.7500 0.2500 0.5000  4 Pa 2.70
Pa6 0.7500 0.5000 0.2500  4 Pa 2.70



Entry 2:
YPa2: relaxed, GGA-PBE.

Calculated values
* calculated density: 11.02 g/cm3
* final energy: -49.49 eV for the cell shown
* symmetry: No. 227

Unit cell a=6.1704 b=6.1704 c=6.1704 alpha=60.00 beta=60.00 gamma=60.00
Last column: nearest neighbours and their distance in Å.
Sites, in units of the cell vectors:
Y1 0.1250 0.1250 0.1250  12 Pa 3.62, 4 Y 3.78
Y2 0.8750 0.8750 0.8750  12 Pa 3.62, 4 Y 3.78
Pa1 0.0000 0.5000 0.5000  6 Pa 3.09
Pa2 0.5000 0.0000 0.5000  6 Pa 3.09
Pa3 0.5000 0.5000 0.0000  6 Pa 3.09
Pa4 0.5000 0.5000 0.5000  6 Pa 3.09



Entry 3:
Y2Pa: relaxed, GGA-PBE.

Calculated values
* calculated density: 7.66 g/cm3
* final energy: -21.92 eV for the cell shown
* symmetry: No. 139

Unit cell a=7.9910 b=7.9910 c=7.9910 alpha=155.35 beta=155.35 gamma=35.14
Last column: nearest neighbours and their distance in Å.
Sites, in units of the cell vectors:
Y1 0.1567 0.1567 0.0000  4 Pa 3.39, 8 Y 3.41-3.73
Y2 0.8433 0.8433 0.0000  4 Pa 3.39, 8 Y 3.41-3.73
Pa1 0.5000 0.5000 0.0000  8 Y 3.39, 4 Pa 3.41



Entry 4:
YPaZn17: relaxed, GGA-PBE.

Calculated values
* calculated density: 7.77 g/cm3
* final energy: -40.88 eV for the cell shown
* symmetry: No. 160

Unit cell a=6.7884 b=6.7884 c=6.7884 alpha=82.82 beta=82.82 gamma=82.82
Last column: nearest neighbours and their distance in Å.
Sites, in units of the cell vectors:
Y1 0.0000 0.0000 0.0000  19 Zn 3.12-3.44
Pa1 0.6729 0.6729 0.6729  19 Zn 3.10-3.45
Zn1 0.0400 0.3364 0.6333  8 Zn 2.58-2.76
Zn2 0.0400 0.6333 0.3364  8 Zn 2.58-2.76
Zn3 0.1772 0.6882 0.6882  8 Zn 2.55-2.75
Zn4 0.2371 0.2371 0.2371  7 Zn 2.63-2.89
Zn5 0.3364 0.0400 0.6333  8 Zn 2.58-2.76
Zn6 0.3364 0.6333 0.0400  8 Zn 2.58-2.76
Zn7 0.3379 0.3379 0.8358  10 Zn 2.58-2.75
Zn8 0.3379 0.8358 0.3379  10 Zn 2.58-2.75
Zn9 0.4370 0.4370 0.4370  7 Zn 2.63-2.86
Zn10 0.5001 0.9823 0.9823  8 Zn 2.55-2.76
Zn11 0.6333 0.0400 0.3364  8 Zn 2.58-2.76
Zn12 0.6333 0.3364 0.0400  8 Zn 2.58-2.76
Zn13 0.6882 0.1772 0.6882  8 Zn 2.55-2.75
Zn14 0.6882 0.6882 0.1772  8 Zn 2.55-2.75
Zn15 0.8358 0.3379 0.3379  10 Zn 2.58-2.75
Zn16 0.9823 0.5001 0.9823  8 Zn 2.55-2.76
Zn17 0.9823 0.9823 0.5001  8 Zn 2.55-2.76



Entry 5:
YPaZn2: relaxed, GGA-PBE.

Calculated values
* energy above the most stable polymorph in this dataset: 0.000 eV/atom
* calculated density: 8.63 g/cm3
* symmetry: No. 123

Unit cell a=3.2237 b=3.2237 c=8.3473 alpha=90.00 beta=90.00 gamma=90.00
Last column: nearest neighbours and their distance in Å.
Sites, in units of the cell vectors:
Y1 0.0000 0.0000 0.0000  8 Zn 3.08, 4 Y 3.22
Pa1 0.0000 0.0000 0.5000  8 Zn 3.11, 4 Pa 3.22
Zn1 0.5000 0.5000 0.2474  4 Y 3.08, 4 Pa 3.11, 4 Zn 3.22
Zn2 0.5000 0.5000 0.7526  4 Y 3.08, 4 Pa 3.11, 4 Zn 3.22



Entry 6:
YPaZn2: relaxed, GGA-PBE.

Calculated values
* energy above the most stable polymorph in this dataset: 0.067 eV/atom
* calculated density: 8.37 g/cm3
* symmetry: No. 225

Unit cell a=5.0189 b=5.0189 c=5.0189 alpha=60.00 beta=60.00 gamma=60.00
Last column: nearest neighbours and their distance in Å.
Sites, in units of the cell vectors:
Y1 0.0000 0.0000 0.0000  8 Zn 3.07
Pa1 0.5000 0.5000 0.5000  8 Zn 3.07
Zn1 0.2500 0.2500 0.2500  4 Pa 3.07, 4 Y 3.07
Zn2 0.7500 0.7500 0.7500  4 Pa 3.07, 4 Y 3.07



Entry 7:
YPa2Zn6: relaxed, GGA-PBE.

Calculated values
* calculated density: 8.94 g/cm3
* final energy: -34.67 eV for the cell shown
* symmetry: No. 191

Unit cell a=7.9084 b=7.9084 c=3.2368 alpha=90.00 beta=90.00 gamma=120.00
Last column: nearest neighbours and their distance in Å.
Sites, in units of the cell vectors:
Y1 0.0000 0.0000 0.0000  12 Zn 3.09, 2 Y 3.24
Pa1 0.3333 0.6667 0.0000  12 Zn 3.10, 2 Pa 3.24
Pa2 0.6667 0.3333 0.0000  12 Zn 3.10, 2 Pa 3.24
Zn1 0.0000 0.3327 0.5000  3 Zn 2.63-2.65
Zn2 0.0000 0.6673 0.5000  3 Zn 2.63-2.65
Zn3 0.3327 0.0000 0.5000  3 Zn 2.63-2.65
Zn4 0.3327 0.3327 0.5000  3 Zn 2.63-2.65
Zn5 0.6673 0.0000 0.5000  3 Zn 2.63-2.65
Zn6 0.6673 0.6673 0.5000  3 Zn 2.63-2.65



Entry 8:
YPaZn4: relaxed, GGA-PBE.

Calculated values
* energy above the most stable polymorph in this dataset: 0.060 eV/atom
* calculated density: 8.44 g/cm3
* symmetry: No. 216

Unit cell a=5.4492 b=5.4492 c=5.4492 alpha=60.00 beta=60.00 gamma=60.00
Last column: nearest neighbours and their distance in Å.
Sites, in units of the cell vectors:
Y1 0.0000 0.0000 0.0000  12 Zn 3.19, 4 Pa 3.34
Pa1 0.2500 0.2500 0.2500  12 Zn 3.20, 4 Y 3.34
Zn1 0.1247 0.6251 0.6251  6 Zn 2.72-2.73
Zn2 0.6251 0.1247 0.6251  6 Zn 2.72-2.73
Zn3 0.6251 0.6251 0.1247  6 Zn 2.72-2.73
Zn4 0.6251 0.6251 0.6251  6 Zn 2.72-2.73



Entry 9:
YPaZn: relaxed, GGA-PBE.

Calculated values
* energy above the most stable polymorph in this dataset: 0.000 eV/atom
* calculated density: 8.91 g/cm3
* symmetry: No. 63

Unit cell a=8.5430 b=8.5430 c=5.2035 alpha=90.00 beta=90.00 gamma=157.77
Last column: nearest neighbours and their distance in Å.
Sites, in units of the cell vectors:
Y1 0.0764 0.9236 0.7500  6 Zn 3.08, 2 Y 3.29
Y2 0.9236 0.0764 0.2500  6 Zn 3.08, 2 Y 3.29
Pa1 0.2345 0.7655 0.2500  2 Zn 3.08, 6 Pa 3.12-3.29
Pa2 0.7655 0.2345 0.7500  2 Zn 3.08, 6 Pa 3.12-3.29
Zn1 0.4210 0.5790 0.7500  6 Y 3.08, 2 Pa 3.08, 2 Zn 3.29
Zn2 0.5790 0.4210 0.2500  6 Y 3.08, 2 Pa 3.08, 2 Zn 3.29



Entry 10:
YPaZn2: relaxed, GGA-PBE.

Calculated values
* energy above the most stable polymorph in this dataset: 0.158 eV/atom
* calculated density: 8.11 g/cm3
* symmetry: No. 166

Unit cell a=9.7826 b=9.7826 c=9.7826 alpha=19.62 beta=19.62 gamma=19.62
Last column: nearest neighbours and their distance in Å.
Sites, in units of the cell vectors:
Y1 0.0000 0.0000 0.0000  6 Zn 3.04, 6 Y 3.33
Pa1 0.5000 0.5000 0.5000  6 Zn 3.10, 6 Pa 3.33
Zn1 0.2514 0.2514 0.2514  3 Y 3.04, 3 Pa 3.10, 6 Zn 3.33
Zn2 0.7486 0.7486 0.7486  3 Y 3.04, 3 Pa 3.10, 6 Zn 3.33



Entry 11:
YPaZn: relaxed, GGA-PBE.

Calculated values
* energy above the most stable polymorph in this dataset: 0.138 eV/atom
* calculated density: 8.89 g/cm3
* symmetry: No. 107

Unit cell a=7.2488 b=7.2488 c=7.2488 alpha=154.22 beta=154.22 gamma=36.78
Last column: nearest neighbours and their distance in Å.
Sites, in units of the cell vectors:
Y1 0.0000 0.0000 0.0000  4 Zn 3.09, 4 Y 3.23
Pa1 0.3046 0.3046 0.0000  4 Zn 3.11, 4 Pa 3.23
Zn1 0.6515 0.6515 0.0000  4 Y 3.09, 4 Pa 3.11, 4 Zn 3.23



Entry 12:
YPaZn4: relaxed, GGA-PBE.

Calculated values
* energy above the most stable polymorph in this dataset: 0.000 eV/atom
* calculated density: 8.16 g/cm3
* symmetry: No. 47

Unit cell a=3.3289 b=4.5341 c=7.8408 alpha=90.00 beta=90.00 gamma=90.00
Last column: nearest neighbours and their distance in Å.
Sites, in units of the cell vectors:
Y1 0.0000 0.0000 0.0000  12 Zn 3.09-3.10, 2 Y 3.33
Pa1 0.0000 0.5000 0.5000  12 Zn 3.10-3.11, 2 Pa 3.33
Zn1 0.5000 0.0000 0.3320  3 Zn 2.62-2.63
Zn2 0.5000 0.0000 0.6680  3 Zn 2.62-2.63
Zn3 0.5000 0.5000 0.1657  3 Zn 2.60-2.62
Zn4 0.5000 0.5000 0.8343  3 Zn 2.60-2.62



Entry 13:
Yb3Pa: relaxed, GGA-PBE.

Calculated values
* calculated density: 9.94 g/cm3
* final energy: -12.80 eV for the cell shown
* symmetry: No. 221

Unit cell a=5.0046 b=5.0046 c=5.0046 alpha=90.00 beta=90.00 gamma=90.00
Last column: nearest neighbours and their distance in Å.
Sites, in units of the cell vectors:
Yb1 0.0000 0.0000 0.5000  4 Pa 3.54, 8 Yb 3.54
Yb2 0.0000 0.5000 0.0000  4 Pa 3.54, 8 Yb 3.54
Yb3 0.5000 0.0000 0.0000  4 Pa 3.54, 8 Yb 3.54
Pa1 0.5000 0.5000 0.5000  12 Yb 3.54



Density of states at the Fermi level across the listed records, respectively: 22.62, 8.62, 5.42, 9.34, 5.68, 3.99, 10.18, 6.48, 4.81, 5.62, 4.76, 6.76, 6.15 states/eV/f.u..